# 1
Entry from the Alexandria database: crystalline P2WCl at its relaxed geometry (GGA-PBE).

a b c (Å): 3.054 3.179 7.115
angles (deg): 89.97 90.00 90.00
Sites, in units of the cell vectors:
Cl  0.500  0.750  0.750
P  0.000  0.750  0.065
P  0.000  0.750  0.435
W  0.500  0.250  0.250

Calculated values
Uncorrected formation energy   0.082 eV/atom

---

# 2
Entry from the Alexandria database: crystalline Tb3Pm5Y4 at its relaxed geometry (GGA-PBE).

a b c (Å): 5.796 5.740 14.428
angles (deg): 84.34 78.41 59.68
Sites, in units of the cell vectors:
Tb  0.457  0.337  0.748
Tb  0.000  0.500  0.500
Tb  0.543  0.663  0.252
Pm  0.668  0.665  0.999
Pm  0.500  0.500  0.500
Pm  0.201  0.343  0.254
Pm  0.799  0.657  0.746
Pm  0.332  0.335  0.001
Y  0.063  0.999  0.875
Y  0.182  0.997  0.639
Y  0.818  0.003  0.361
Y  0.937  0.001  0.125

Calculated values
Formation enthalpy at 0 K   0.223 eV/atom

---

# 3
Entry from the Alexandria database: crystalline CaTh2Pt2 at its relaxed geometry (GGA-PBE).

a b c (Å): 3.865 8.139 8.139
angles (deg): 90.00 90.00 90.00
Sites, in units of the cell vectors:
Ca  0.500  0.500  0.000
Ca  0.500  0.000  0.500
Th  0.000  0.665  0.335
Th  0.000  0.835  0.835
Th  0.000  0.165  0.165
Th  0.000  0.335  0.665
Pt  0.500  0.366  0.366
Pt  0.500  0.866  0.134
Pt  0.500  0.134  0.866
Pt  0.500  0.634  0.634

Calculated values
Formation enthalpy at 0 K   -0.951 eV/atom

---

# 4
Entry from the Alexandria database: crystalline CsSO2 at its relaxed geometry (GGA-PBE).

a b c (Å): 3.461 6.908 14.236
angles (deg): 90.00 90.00 90.00
Sites, in units of the cell vectors:
Cs  0.750  0.700  0.364
Cs  0.750  0.200  0.136
Cs  0.250  0.300  0.636
Cs  0.250  0.800  0.864
S  0.250  0.198  0.391
S  0.750  0.802  0.609
S  0.250  0.698  0.109
S  0.750  0.302  0.891
O  0.750  0.746  0.056
O  0.250  0.254  0.944
O  0.750  0.246  0.444
O  0.250  0.754  0.556
O  0.750  0.159  0.809
O  0.250  0.341  0.309
O  0.750  0.659  0.691
O  0.250  0.841  0.191

Calculated values
Uncorrected formation energy   -1.033 eV/atom

---

# 5
Entry from the Alexandria database: crystalline AcCdPb at its relaxed geometry (GGA-PBE).

a b c (Å): 5.265 5.265 7.932
angles (deg): 90.00 90.00 120.00
Sites, in units of the cell vectors:
Ac  0.000  0.000  0.000
Ac  0.000  0.000  0.500
Cd  0.667  0.333  0.250
Cd  0.333  0.667  0.750
Pb  0.333  0.667  0.250
Pb  0.667  0.333  0.750

Calculated values
Formation enthalpy at 0 K   -0.396 eV/atom

---

# 6
Entry from the Alexandria database: crystalline Zn2TcAs at its relaxed geometry (GGA-PBE).

a b c (Å): 4.992 4.992 4.992
angles (deg): 140.48 129.09 66.30
Sites, in units of the cell vectors:
As  0.489  0.489  0.000
Tc  0.262  0.762  0.500
Zn  0.998  0.998  0.000
Zn  0.751  0.251  0.500

Calculated values
Formation enthalpy at 0 K   0.090 eV/atom